1.
4
Lattice="5.332 0.000 0.000 2.666 4.618 0.000 2.666 1.539 7.566" Properties=species:S:1:pos:R:3 comment="PrSn2Bi | the Alexandria database | PBE | optimized geometry" dft_energy_ev_per_atom=-3.88 ef_ev_per_atom=0.290 de_polymorph_mev_per_atom=756 pbc="T T T"
Bi 0.000 0.000 0.000
Pr 5.332 3.079 3.783
Sn 2.666 1.539 4.711
Sn 7.999 4.618 2.855

2.
9
Lattice="4.156 -2.750 3.513 -4.861 3.677 0.153 -3.115 -5.068 -1.336" Properties=species:S:1:pos:R:3 comment="Tc5Ru4 | the Alexandria database | PBE | optimized geometry" dft_energy_ev_per_atom=-9.81 ef_ev_per_atom=0.068 de_polymorph_mev_per_atom=0 pbc="T T T"
Ru 0.348 -2.611 0.727
Ru 0.693 -5.207 1.451
Ru -2.663 -0.465 -0.395
Ru -5.312 -0.927 -0.788
Tc -2.305 -3.061 0.331
Tc 0.000 0.000 0.000
Tc 1.159 -0.614 2.397
Tc -1.515 -1.080 2.000
Tc -1.864 1.541 1.270

3.
6
Lattice="5.315 0.000 0.000 2.658 4.603 0.000 2.658 1.534 4.340" Properties=species:S:1:pos:R:3 comment="PuPaRu4 | the Alexandria database | PBE | optimized geometry" dft_energy_ev_per_atom=-10.38 ef_ev_per_atom=-0.228 de_polymorph_mev_per_atom=0 pbc="T T T"
Ru 6.648 3.838 2.714
Ru 5.315 1.530 2.714
Ru 5.315 3.069 0.538
Ru 3.983 3.838 2.714
Pa 2.658 1.534 1.085
Pu 0.000 0.000 0.000

4.
8
Lattice="7.267 0.000 0.000 0.000 7.267 0.000 0.000 0.000 7.267" Properties=species:S:1:pos:R:3 comment="Sr3Li | the Alexandria database | PBE | optimized geometry" dft_energy_ev_per_atom=-1.62 ef_ev_per_atom=0.118 de_polymorph_mev_per_atom=78 pbc="T T T"
Sr 5.450 3.633 0.000
Sr 3.633 0.000 1.817
Sr 0.000 5.450 3.633
Sr 3.633 0.000 5.450
Sr 0.000 1.817 3.633
Sr 1.817 3.633 0.000
Li 3.633 3.633 3.633
Li 0.000 0.000 0.000

5.
8
Lattice="-3.092 -4.664 -3.763 5.602 3.081 -2.380 2.352 -4.780 5.238" Properties=species:S:1:pos:R:3 comment="InBr2Cl | the Alexandria database | PBE | optimized geometry" dft_energy_ev_per_atom=-2.89 e_form_raw_kcal_per_mol_atoms=-20.99 de_polymorph_mev_per_atom=0 pbc="T T T"
Br 5.354 0.124 -0.749
Br 4.794 -4.026 1.823
Br 2.299 -4.385 4.693
Br -0.454 -5.131 -1.895
In 2.639 0.208 -0.760
In 2.435 -1.879 -4.054
Cl 2.590 -2.271 -1.505
Cl 2.206 -6.708 1.188

6.
4
Lattice="-2.014 0.246 1.959 -2.568 -0.999 -2.515 0.787 -5.931 1.554" Properties=species:S:1:pos:R:3 comment="TlOsRu2 | the Alexandria database | PBE | optimized geometry" dft_energy_ev_per_atom=-7.51 ef_ev_per_atom=0.522 de_polymorph_mev_per_atom=113 pbc="T T T"
Ru 0.758 -5.712 1.496
Ru 0.423 -3.185 0.834
Tl -2.094 -1.860 0.111
Os -1.701 -4.825 0.887

7.
16
Lattice="8.382 0.000 0.000 0.000 8.825 0.310 -4.191 -4.191 5.928" Properties=species:S:1:pos:R:3 comment="Nd8Ge3CBr4 | the Alexandria database | PBE | optimized geometry" dft_energy_ev_per_atom=-5.30 e_form_raw_kcal_per_mol_atoms=-24.42 pbc="T T T"
Nd 2.279 2.059 6.030
Nd 4.191 0.296 3.431
Nd 6.471 2.575 0.208
Nd -2.279 2.059 6.030
Nd 4.191 4.310 3.047
Nd 0.000 0.324 3.191
Nd 1.912 2.575 0.208
Nd 0.000 4.338 2.807
Br -2.096 -2.095 2.964
Br 2.096 -2.095 2.964
Br 4.191 0.000 0.000
Br 0.000 0.000 0.000
C 0.000 4.412 0.155
Ge 4.191 4.412 0.155
Ge 2.096 2.317 3.119
Ge -2.096 2.317 3.119

8.
5
Lattice="-3.603 -0.320 -3.503 3.277 -0.554 -3.320 -0.187 -4.990 0.648" Properties=species:S:1:pos:R:3 comment="Sc2AlTeRh | the Alexandria database | PBE | optimized geometry" dft_energy_ev_per_atom=-5.92 e_form_raw_kcal_per_mol_atoms=-12.54 pbc="T T T"
Te -0.257 -2.932 -3.087
Rh 0.000 0.000 0.000
Sc -0.093 -2.495 0.324
Sc -1.802 -0.160 -1.751
Al 1.638 -0.277 -1.660

9.
18
Lattice="6.403 0.000 2.922 2.394 7.469 3.231 -0.002 -0.029 8.483" Properties=species:S:1:pos:R:3 comment="TbScCu | the Alexandria database | PBE | optimized geometry" dft_energy_ev_per_atom=-5.18 ef_ev_per_atom=-0.164 de_polymorph_mev_per_atom=0 pbc="T T T"
Tb 2.838 1.845 8.193
Tb 4.037 5.594 5.566
Tb 2.315 4.095 2.641
Tb 7.102 7.093 9.106
Tb 5.903 3.344 11.731
Tb 1.117 0.346 5.267
Cu 5.421 1.845 9.371
Cu 4.682 6.200 10.988
Cu 3.486 2.480 5.132
Cu 0.953 1.239 2.205
Cu 6.619 5.595 6.745
Cu 2.150 4.960 8.061
Sc 4.655 4.695 8.827
Sc 6.903 6.465 12.380
Sc 1.293 3.720 5.901
Sc 5.707 2.745 6.523
Sc 0.097 0.000 0.044
Sc 3.459 0.975 2.971

Q: What is the formula in the eighth record?
A: Sc2AlTeRh